The following is a GGA-PBE calculation of a relaxed structure of PuCu3S3, from the Alexandria database.

Values from the calculation:
Energy above the lowest structure with this stoichiometry (kJ/mol of formula units): 0
Calculated total energy (eV/atom): -6.29
Formation energy (no corrections) (meV/atom): -719.5

Cell: 6.7058 6.7058 19.3320 Å, 90.00 90.00 120.00°
Space group R-3 (No. 148, hexagonal axes)
Inequivalent atoms, fractional coordinates:
1 Pu 0.0000 0.0000 0.1663
2 Cu 0.0023 0.3396 0.3756
3 S 0.0013 0.3339 0.9182